This record from Alexandria via LeMat-Bulk describes crystalline CsH2I2 at its relaxed geometry. The functional is GGA-PBE.

```
CsH2I2
1.0
6.434 -2.080 0.000
6.434 2.080 0.000
-5.175 0.000 11.770
Cs H I
2 4 4
direct
0.245 0.755 0.750
0.755 0.245 0.250
0.091 0.606 0.902
0.394 0.909 0.598
0.606 0.091 0.402
0.909 0.394 0.098
0.104 0.590 0.403
0.410 0.896 0.097
0.590 0.104 0.903
0.896 0.410 0.597
```

Volume ... 315 Å³ per cell
Spin magnetization ... 0.00 Bohr magnetons per cell
Energy ... -2.38 eV per atom
Fermi-level density of states ... 0.368 states/eV per atom
Polymorph energy (0 for the lowest one) ... 307 meV/atom